Entry 1:
The following is a DFT calculation (PBE) of a relaxed ZrTlCd2 crystal.

Cell: 3.2371 3.2371 8.7744 Å, 90.00 90.00 90.00°
Last column: nearest neighbours and their distance in Å.
Element x y z (fractional)
Zr 0.0000 0.0000 0.0000  4 Cd 3.11, 4 Tl 3.20, 4 Zr 3.24
Tl 0.5000 0.5000 0.7444  4 Zr 3.20, 4 Tl 3.24, 4 Cd 3.27
Cd 0.0000 0.0000 0.4778  8 Cd 3.09-3.24, 4 Tl 3.27
Cd 0.5000 0.5000 0.2406  8 Cd 3.09-3.24, 4 Zr 3.11

Properties
SG: P4mm, No. 99
Energy: -3.152 eV/atom
Crystal system: tetragonal
Energy of formation from the pure elements: 0.0345 eV per atom
ΔE to the lowest computed polymorph: 130 meV/atom
Mass density: 9.40 Mg/m³


Entry 2:
The following is a DFT calculation (PBE) of a relaxed ZrTlCd crystal.

Cell: 5.5213 5.5213 6.0231 Å, 90.00 90.00 130.97°
Last column: nearest neighbours and their distance in Å.
Element x y z (fractional)
Zr 0.1780 0.8220 0.7500  5 Tl 2.94-3.18, 4 Cd 3.27
Zr 0.8220 0.1780 0.2500  5 Tl 2.94-3.18, 4 Cd 3.27
Tl 0.1388 0.8612 0.2500  5 Zr 2.94-3.18, 4 Cd 3.08
Tl 0.8612 0.1388 0.7500  5 Zr 2.94-3.18, 4 Cd 3.08
Cd 0.5000 0.5000 0.0000  2 Cd 3.01, 4 Tl 3.08, 4 Zr 3.27
Cd 0.5000 0.5000 0.5000  2 Cd 3.01, 4 Tl 3.08, 4 Zr 3.27

Properties
SG: Cmcm, No. 63
Energy: -3.860 eV/atom
Crystal system: orthorhombic
Energy of formation from the pure elements: 0.0827 eV per atom
Mass density: 9.77 Mg/m³


Entry 3:
The following is a DFT calculation (PBE) of a relaxed ZrTlCd3 crystal.

Cell: 5.3317 5.3317 5.3317 Å, 90.00 90.00 90.00°
Last column: nearest neighbours and their distance in Å.
Element x y z (fractional)
Zr 0.0000 0.0000 0.0000  12 Cd 3.77
Tl 0.5000 0.5000 0.5000  6 Cd 2.67
Cd 0.0000 0.5000 0.5000  2 Tl 2.67
Cd 0.5000 0.0000 0.5000  2 Tl 2.67
Cd 0.5000 0.5000 0.0000  2 Tl 2.67

Properties
SG: Pm-3m, No. 221
Energy: -1.808 eV/atom
Crystal system: cubic
Energy of formation from the pure elements: 0.9238 eV per atom
ΔE to the lowest computed polymorph: 221 meV/atom
Mass density: 6.93 Mg/m³


Entry 4:
The following is a DFT calculation (PBE) of a relaxed ZrTlCd2 crystal.

Cell: 3.2311 3.2311 10.2544 Å, 90.00 90.00 117.41°
Last column: nearest neighbours and their distance in Å.
Element x y z (fractional)
Zr 0.0000 0.0000 0.0000  2 Cd 3.04, 2 Tl 3.10, 6 Zr 3.23-3.36
Tl 0.5000 0.5000 0.7457  2 Zr 3.10, 2 Cd 3.11, 6 Tl 3.23-3.36
Cd 0.0000 0.0000 0.4900  8 Cd 3.01-3.36, 2 Tl 3.11
Cd 0.5000 0.5000 0.2468  8 Cd 3.01-3.36, 2 Zr 3.04

Properties
SG: Cmm2, No. 35
Energy: -3.120 eV/atom
Crystal system: orthorhombic
Energy of formation from the pure elements: 0.0660 eV per atom
ΔE to the lowest computed polymorph: 161 meV/atom
Mass density: 9.09 Mg/m³


- energy of formation from the pure elements of number 2 (ZrTlCd)?
  0.0827 eV per atom


- What is the energy in the third record?
  -1.808 eV/atom


- energy of number 4 (ZrTlCd2)?
  -3.120 eV/atom


- Number 1 is which compound?
  ZrTlCd2